Crystalline Pr7Tl2Ru2 at its relaxed geometry. Source: the Alexandria database, functional PBE.

Values from the calculation:
ΔE_f	-0.202	eV per atom
density of states at the Fermi level	16.88	states/eV per cell
total magnetization	0.000	μB/atom

abc: 7.8311 10.2174 8.4919
angles: 90.00 96.67 90.00
Closest atoms and distances in Å follow each position.
Space group C2/m (No. 12)
Symmetry-distinct sites (fractional):
Pr 0.0000 0.0000 0.0000 (multiplicity 2)  2 Ru 2.72
Pr 0.1647 0.3160 0.1846 (multiplicity 8)  2 Ru 2.94-3.16, 1 Tl 3.28
Pr 0.2190 0.5000 0.6071 (multiplicity 4)  1 Ru 2.74
Tl 0.0000 0.2139 0.5000 (multiplicity 4)  8 Pr 3.28-3.54
Ru 0.1542 0.5000 0.9168 (multiplicity 4)  4 Pr 2.72-2.94, 1 Ru 2.94


Crystalline CaScFe at its relaxed geometry. Source: the Alexandria database, functional PBE.

Values from the calculation:
offset from the most stable computed form	0.3470	eV/atom
ΔE_f	0.562	eV per atom
density of states at the Fermi level	29.68	states/eV per cell
total magnetization	0.333	μB/atom

abc: 6.6155 6.6155 6.6155
angles: 90.00 90.00 90.00
Closest atoms and distances in Å follow each position.
Space group F-43m (No. 216)
Symmetry-distinct sites (fractional):
Ca 0.0000 0.0000 0.0000 (multiplicity 4)  4 Fe 2.86
Sc 0.0000 0.0000 0.5000 (multiplicity 4)  4 Fe 2.86
Fe 0.2500 0.2500 0.7500 (multiplicity 4)  4 Ca 2.86, 4 Sc 2.86


Crystalline LiUPa2Se6 at its relaxed geometry. Source: the Alexandria database, functional PBE.

Values from the calculation:
formation energy without anion corrections	-0.865	eV/atom
density of states at the Fermi level	19.79	states/eV per cell
total magnetization	0.500	μB/atom

abc: 6.4818 6.4818 6.9504
angles: 90.00 90.00 90.00
Closest atoms and distances in Å follow each position.
Space group P4mm (No. 99)
Symmetry-distinct sites (fractional):
Li 0.0000 0.0000 0.0000 (multiplicity 1)  5 Se 2.51-2.67
U 0.5000 0.5000 0.0325 (multiplicity 1)  5 Se 2.72-2.83
Pa 0.0000 0.5000 0.4677 (multiplicity 2)  4 Se 2.87
Se 0.0000 0.0000 0.6385 (multiplicity 1)  1 Li 2.51
Se 0.2393 0.2393 0.2184 (multiplicity 4)  1 Li 2.67, 1 U 2.72, 2 Pa 2.87
Se 0.5000 0.5000 0.6248 (multiplicity 1)  1 U 2.83


Crystalline Cs2TlI4 at its relaxed geometry. Source: the Alexandria database, functional PBE.

Values from the calculation:
offset from the most stable computed form	0.0000	eV/atom
formation energy without anion corrections	-1.043	eV/atom
density of states at the Fermi level	4.75	states/eV per cell
total magnetization	0.000	μB/atom

abc: 6.1928 6.1928 19.7339
angles: 90.00 90.00 90.00
Closest atoms and distances in Å follow each position.
Space group I4/mmm (No. 139)
Symmetry-distinct sites (fractional):
Cs 0.0000 0.0000 0.1407 (multiplicity 4)  5 I 3.84-4.16
Tl 0.0000 0.0000 0.5000 (multiplicity 2)  6 I 3.10-3.25
I 0.0000 0.0000 0.3354 (multiplicity 4)  1 Tl 3.25
I 0.0000 0.5000 0.0000 (multiplicity 4)  2 Tl 3.10


Crystalline TbNd8Tm2 at its relaxed geometry. Source: the Alexandria database, functional PBE.

Values from the calculation:
offset from the most stable computed form	0.0139	eV/atom
ΔE_f	0.171	eV per atom
density of states at the Fermi level	35.71	states/eV per cell
total magnetization	0.000	μB/atom

abc: 16.9158 6.7990 6.7010
angles: 90.00 100.05 90.00
Closest atoms and distances in Å follow each position.
Space group C2/m (No. 12)
Symmetry-distinct sites (fractional):
Tb 0.0000 0.0000 0.0000 (multiplicity 2)  4 Nd 3.37
Nd 0.0871 0.2611 0.4065 (multiplicity 8)  5 Nd 3.25-3.55, 1 Tb 3.37, 1 Tm 3.48
Nd 0.0954 0.5000 0.9151 (multiplicity 4)  6 Nd 3.36-3.76, 1 Tm 3.67
Nd 0.2449 0.0000 0.3218 (multiplicity 4)  5 Nd 3.33-3.50, 4 Tm 3.39-3.69
Tm 0.1970 0.0000 0.8083 (multiplicity 4)  7 Nd 3.39-3.69, 1 Tb 3.78


Crystalline YFe2Se at its relaxed geometry. Source: the Alexandria database, functional PBE.

Values from the calculation:
formation energy without anion corrections	-0.197	eV/atom
density of states at the Fermi level	3.51	states/eV per cell
total magnetization	0.998	μB/atom

abc: 3.7396 4.1273 4.8837
angles: 90.00 90.10 90.00
Closest atoms and distances in Å follow each position.
Space group P2/m (No. 10)
Symmetry-distinct sites (fractional):
Y 0.0000 0.0000 0.0000 (multiplicity 1)  8 Fe 3.01, 4 Se 3.07-3.08
Fe 0.4993 0.5000 0.7668 (multiplicity 2)  1 Fe 2.28, 2 Se 2.44
Se 0.5000 0.0000 0.5000 (multiplicity 1)  4 Fe 2.44


Crystalline Cs2Pt2Cl at its relaxed geometry. Source: the Alexandria database, functional PBE.

Values from the calculation:
offset from the most stable computed form	0.3886	eV/atom
formation energy without anion corrections	-0.265	eV/atom
density of states at the Fermi level	5.98	states/eV per cell
total magnetization	0.200	μB/atom

abc: 6.9161 6.9161 7.4355
angles: 90.00 90.00 90.00
Closest atoms and distances in Å follow each position.
Space group I4/mmm (No. 139)
Symmetry-distinct sites (fractional):
Cs 0.0000 0.5000 0.2500 (multiplicity 4)  4 Pt 3.52, 2 Cs 3.72, 4 Cl 3.93
Pt 0.0000 0.0000 0.1651 (multiplicity 4)  1 Pt 2.45, 1 Cl 2.49
Cl 0.0000 0.0000 0.5000 (multiplicity 2)  2 Pt 2.49


Crystalline Ag4SnPd3 at its relaxed geometry. Source: the Alexandria database, functional PBE.

Values from the calculation:
ΔE_f	-0.110	eV per atom
density of states at the Fermi level	5.53	states/eV per cell
total magnetization	0.000	μB/atom

abc: 17.2663 4.0829 4.0487
angles: 90.00 103.39 90.00
Closest atoms and distances in Å follow each position.
Space group C2/m (No. 12)
Symmetry-distinct sites (fractional):
Ag 0.1307 0.0000 0.1315 (multiplicity 4)  6 Pd 2.85-3.00, 4 Ag 2.87-2.88, 2 Sn 2.98-2.99
Ag 0.1307 0.5000 0.6312 (multiplicity 4)  6 Pd 2.84-2.99, 4 Ag 2.87-2.88, 2 Sn 3.00
Sn 0.0000 0.0000 0.5000 (multiplicity 2)  4 Pd 2.87, 8 Ag 2.98-3.00
Pd 0.0000 0.5000 0.0000 (multiplicity 2)  4 Sn 2.87, 8 Ag 2.98-3.00
Pd 0.2495 0.5000 0.2491 (multiplicity 4)  8 Ag 2.84-2.87, 4 Pd 2.87-2.88


Crystalline Cs3Y2ThSe6 at its relaxed geometry. Source: the Alexandria database, functional PBE.

Values from the calculation:
formation energy without anion corrections	-1.665	eV/atom
density of states at the Fermi level	8.40	states/eV per cell
total magnetization	0.000	μB/atom

abc: 7.4144 12.8430 8.7815
angles: 90.00 106.35 90.00
Closest atoms and distances in Å follow each position.
Space group C2/m (No. 12)
Symmetry-distinct sites (fractional):
Cs 0.0000 0.0000 0.0000 (multiplicity 2)  6 Se 3.59-3.61
Cs 0.0000 0.3333 0.0000 (multiplicity 4)  6 Se 3.59-3.61
Y 0.0000 0.1667 0.5000 (multiplicity 4)  6 Se 2.93
Th 0.0000 0.5000 0.5000 (multiplicity 2)  6 Se 2.95
Se 0.2272 0.0000 0.6886 (multiplicity 4)  2 Y 2.93, 1 Th 2.95
Se 0.2307 0.3321 0.6886 (multiplicity 8)  2 Y 2.93, 1 Th 2.95


Crystalline CdSn2S4 at its relaxed geometry. Source: the Alexandria database, functional PBE.

Values from the calculation:
formation energy without anion corrections	-0.215	eV/atom
density of states at the Fermi level	5.57	states/eV per cell
total magnetization	0.000	μB/atom

abc: 7.0090 11.5979 8.9911
angles: 90.00 90.00 90.00
Closest atoms and distances in Å follow each position.
Space group Cccm (No. 66)
Symmetry-distinct sites (fractional):
Cd 0.0000 0.0000 0.2500 (multiplicity 4)  4 S 2.70
Sn 0.0084 0.2769 0.0000 (multiplicity 8)  4 S 2.55-2.82
S 0.1775 0.0709 0.0000 (multiplicity 8)  2 Sn 2.67-2.82, 2 Cd 2.70, 1 S 2.98
S 0.2500 0.2500 0.3036 (multiplicity 8)  2 Sn 2.55


Crystalline KPdF2 at its relaxed geometry. Source: the Alexandria database, functional PBE.

Values from the calculation:
offset from the most stable computed form	0.1992	eV/atom
formation energy without anion corrections	-1.426	eV/atom
density of states at the Fermi level	1.29	states/eV per cell
total magnetization	0.250	μB/atom

abc: 5.0080 5.0080 13.2392
angles: 90.00 90.00 90.00
Closest atoms and distances in Å follow each position.
Space group I-42d (No. 122)
Symmetry-distinct sites (fractional):
K 0.0000 0.0000 0.0000 (multiplicity 4)  4 F 2.62
Pd 0.0000 0.0000 0.5000 (multiplicity 4)  4 F 2.27
F 0.1813 0.2500 0.6250 (multiplicity 8)  2 Pd 2.27


Crystalline CaV2Ge at its relaxed geometry. Source: the Alexandria database, functional PBE.

Values from the calculation:
ΔE_f	0.367	eV per atom
density of states at the Fermi level	9.31	states/eV per cell
total magnetization	0.000	μB/atom

abc: 4.3052 4.3052 18.6048
angles: 90.00 90.00 90.00
Closest atoms and distances in Å follow each position.
Space group I-42d (No. 122)
Symmetry-distinct sites (fractional):
Ca 0.0000 0.0000 0.0000 (multiplicity 4)  4 Ge 3.04, 8 V 3.30-3.40
V 0.0184 0.2500 0.6250 (multiplicity 8)  2 V 2.16
Ge 0.0000 0.0000 0.5000 (multiplicity 4)  4 V 2.56


total magnetization of number 6 (YFe2Se)?
0.998 μB/atom


Please write out number 4 again, unchanged.
Crystalline Cs2TlI4 at its relaxed geometry. Source: the Alexandria database, functional PBE.

Values from the calculation:
offset from the most stable computed form	0.0000	eV/atom
formation energy without anion corrections	-1.043	eV/atom
density of states at the Fermi level	4.75	states/eV per cell
total magnetization	0.000	μB/atom

abc: 6.1928 6.1928 19.7339
angles: 90.00 90.00 90.00
Closest atoms and distances in Å follow each position.
Space group I4/mmm (No. 139)
Symmetry-distinct sites (fractional):
Cs 0.0000 0.0000 0.1407 (multiplicity 4)  5 I 3.84-4.16
Tl 0.0000 0.0000 0.5000 (multiplicity 2)  6 I 3.10-3.25
I 0.0000 0.0000 0.3354 (multiplicity 4)  1 Tl 3.25
I 0.0000 0.5000 0.0000 (multiplicity 4)  2 Tl 3.10


What is the formula in the ninth record?
Cs3Y2ThSe6